No. 1
Below is a geometry-optimized LiCa2Tl5 structure, with properties calculated at the GGA-PBE level.

Values from the calculation:
* VASP energy: -19.61 eV/cell
* magnetic moment: 0.0 μB/cell

abc: 5.4697 5.4697 8.5267
angles: 108.71 108.71 90.00
Sites, in units of the cell vectors:
Tl  0.8825  0.3825  0.7651
Tl  0.1175  0.6175  0.2349
Ca  0.2519  0.2519  0.5038
Li  0.0000  0.0000  0.0000
Tl  0.3825  0.8825  0.7651
Tl  0.6175  0.1175  0.2349
Ca  0.7481  0.7481  0.4962
Tl  0.5000  0.5000  0.0000

***

No. 2
Below is a geometry-optimized SrMgHg4 structure, with properties calculated at the GGA-PBE level.

Values from the calculation:
* VASP energy: -5.65 eV/cell
* magnetic moment: 0.0 μB/cell

abc: 4.6016 4.6016 8.6172
angles: 90.00 90.00 90.00
Sites, in units of the cell vectors:
Hg  0.0000  0.5000  0.2888
Hg  0.0000  0.5000  0.7112
Hg  0.5000  0.0000  0.7112
Hg  0.5000  0.0000  0.2888
Sr  0.0000  0.0000  0.0000
Mg  0.5000  0.5000  0.5000

***

No. 3
Below is a geometry-optimized TeAsSeN2 structure, with properties calculated at the GGA-PBE level.

Values from the calculation:
* uncorrected formation energy: 121.6 kJ/mol of atoms
* magnetic moment: 0.8 μB/cell

abc: 3.8254 3.8254 6.7430
angles: 90.00 90.00 90.00
Each line ends with the local moment (μB).
Sites, in units of the cell vectors:
N  0.0000  0.5000  0.0000  0.30
Se  0.5000  0.5000  0.5000  0.01
Te  0.0000  0.0000  0.5000  0.00
N  0.5000  0.0000  0.0000  0.30
As  0.0000  0.0000  0.0000  -0.03

***

No. 4
Below is a geometry-optimized SrLa2W structure, with properties calculated at the GGA-PBE level.

Values from the calculation:
* VASP energy: -21.73 eV/cell
* magnetic moment: 0.0 μB/cell

abc: 3.9106 3.9106 8.5950
angles: 90.00 90.00 90.00
Sites, in units of the cell vectors:
Sr  0.0000  0.0000  0.5581
La  0.5000  0.5000  0.1820
La  0.0000  0.0000  0.9505
W  0.5000  0.5000  0.8093

***

No. 5
Below is a geometry-optimized FeRuSe2 structure, with properties calculated at the GGA-PBE level.

Values from the calculation:
* uncorrected formation energy: -21.6 kJ/mol of atoms
* magnetic moment: 0.2 μB/cell

abc: 3.8283 3.8272 5.9860
angles: 89.78 90.00 90.00
Each line ends with the local moment (μB).
Sites, in units of the cell vectors:
Se  0.5000  0.3765  0.3879  -0.02
Fe  0.0000  0.3750  0.6250  0.41
Ru  0.5000  0.8750  0.6251  -0.09
Se  0.0000  0.8735  0.8621  -0.02

***

No. 6
Below is a geometry-optimized Yb2EuS4 structure, with properties calculated at the GGA-PBE level.

Values from the calculation:
* uncorrected formation energy: -177.1 kJ/mol of atoms
* magnetic moment: 21.6 μB/cell

abc: 3.9647 11.5790 14.2138
angles: 90.00 90.00 90.00
Each line ends with the local moment (μB).
Sites, in units of the cell vectors:
S  0.2500  0.1399  0.4715  -0.09
S  0.2500  0.6399  0.0285  -0.09
S  0.7500  0.3601  0.9715  -0.09
Yb  0.7500  0.5760  0.3915  -0.38
Eu  0.7500  0.2454  0.3378  6.59
S  0.2500  0.5147  0.7849  -0.11
Yb  0.7500  0.0760  0.1085  -0.38
Eu  0.2500  0.2546  0.8378  6.59
Eu  0.7500  0.7454  0.1622  6.59
Yb  0.2500  0.4240  0.6085  -0.38
S  0.7500  0.8601  0.5285  -0.09
S  0.2500  0.9122  0.0847  -0.10
Yb  0.2500  0.9194  0.3999  -0.35
S  0.7500  0.9853  0.2849  -0.11
Yb  0.7500  0.0806  0.6001  -0.35
S  0.7500  0.5878  0.5847  -0.10
S  0.7500  0.7876  0.8118  -0.08
S  0.7500  0.2876  0.6882  -0.08
S  0.7500  0.0878  0.9153  -0.10
Yb  0.2500  0.9240  0.8915  -0.38
Eu  0.2500  0.7546  0.6622  6.59
S  0.2500  0.7124  0.3118  -0.08
S  0.7500  0.4853  0.2151  -0.11
S  0.2500  0.2124  0.1882  -0.08
Yb  0.2500  0.4194  0.1001  -0.35
S  0.2500  0.4122  0.4153  -0.10
S  0.2500  0.0147  0.7151  -0.11
Yb  0.7500  0.5806  0.8999  -0.35